Record 1
# Si3SbO PBE-GGA optimized geometry
data_Si3SbO
_chemical_formula_sum 'Si3 Sb1 O1'
_space_group_name_H-M_alt 'P m -3 m'
_space_group_IT_number 221
_space_group_name_Hall '-P 4 2 3'
_cell_length_a 5.219
_cell_length_b 5.219
_cell_length_c 5.219
_cell_angle_alpha 90.00
_cell_angle_beta 90.00
_cell_angle_gamma 90.00
loop_
_atom_site_label
_atom_site_type_symbol
_atom_site_fract_x
_atom_site_fract_y
_atom_site_fract_z
Si1 Si 0.000 0.000 0.500
Sb1 Sb 0.000 0.000 0.000
O1 O 0.500 0.500 0.500
# Formation energy (no corrections) ... 9.01 eV per formula unit
# ΔE to the lowest computed polymorph ... 1538 meV per atom
# E ... -16.3 eV/cell


Record 2
# Si2SbO6 PBE-GGA optimized geometry
data_Si2SbO6
_chemical_formula_sum 'Si8 Sb4 O24'
_space_group_name_H-M_alt 'C 1 2/c 1'
_space_group_IT_number 15
_cell_length_a 9.997
_cell_length_b 9.321
_cell_length_c 5.469
_cell_angle_alpha 90.00
_cell_angle_beta 109.98
_cell_angle_gamma 90.00
loop_
_space_group_symop_operation_xyz
'x,y,z'
'-x,-y,-z'
'-x,y,-z+1/2'
'x,-y,z+1/2'
'x+1/2,y+1/2,z'
'-x+1/2,-y+1/2,-z'
'-x+1/2,y+1/2,-z+1/2'
'x+1/2,-y+1/2,z+1/2'
loop_
_atom_site_label
_atom_site_type_symbol
_atom_site_fract_x
_atom_site_fract_y
_atom_site_fract_z
Si1 Si 0.199 0.079 0.240
Sb1 Sb 0.000 0.378 0.250
O1 O 0.122 0.433 0.647
O2 O 0.144 0.010 0.466
O3 O 0.146 0.245 0.190
# Formation energy (no corrections) ... -19.55 eV per formula unit
# E ... -257.1 eV/cell


Record 3
# Si2SbO PBE-GGA optimized geometry
data_Si2SbO
_chemical_formula_sum 'Si8 Sb4 O4'
_space_group_name_H-M_alt 'I -4 2 d'
_space_group_IT_number 122
_space_group_name_Hall 'I -4 2bw'
_cell_length_a 4.778
_cell_length_b 4.778
_cell_length_c 12.635
_cell_angle_alpha 90.00
_cell_angle_beta 90.00
_cell_angle_gamma 90.00
loop_
_atom_site_label
_atom_site_type_symbol
_atom_site_fract_x
_atom_site_fract_y
_atom_site_fract_z
Si1 Si 0.104 0.250 0.125
Sb1 Sb 0.000 0.000 0.500
O1 O 0.000 0.000 0.000
# Formation energy (no corrections) ... -0.45 eV per formula unit
# E ... -81.5 eV/cell


Record 4
# Si3Sb2O9 PBE-GGA optimized geometry
data_Si3Sb2O9
_chemical_formula_sum 'Si6 Sb4 O18'
_space_group_name_H-M_alt 'P 63/m'
_space_group_IT_number 176
_space_group_name_Hall '-P 6c'
_cell_length_a 6.9855
_cell_length_b 6.9855
_cell_length_c 9.5950
_cell_angle_alpha 90.00
_cell_angle_beta 90.00
_cell_angle_gamma 120.00
loop_
_atom_site_label
_atom_site_type_symbol
_atom_site_fract_x
_atom_site_fract_y
_atom_site_fract_z
Si1 Si 0.0731 0.2777 0.2500
Sb1 Sb 0.3333 0.6667 0.5059
O1 O 0.0642 0.2452 0.7500
O2 O 0.0976 0.4192 0.1092
# Formation energy (no corrections) ... -31.75 eV per formula unit
# E ... -201.8 eV/cell


Record 5
# SiSb3O PBE-GGA optimized geometry
data_SiSb3O
_chemical_formula_sum 'Si1 Sb3 O1'
_space_group_name_H-M_alt 'P m -3 m'
_space_group_IT_number 221
_space_group_name_Hall '-P 4 2 3'
_cell_length_a 4.775
_cell_length_b 4.775
_cell_length_c 4.775
_cell_angle_alpha 90.00
_cell_angle_beta 90.00
_cell_angle_gamma 90.00
loop_
_atom_site_label
_atom_site_type_symbol
_atom_site_fract_x
_atom_site_fract_y
_atom_site_fract_z
Si1 Si 0.000 0.000 0.000
Sb1 Sb 0.000 0.500 0.500
O1 O 0.500 0.500 0.500
# Formation energy (no corrections) ... 1.17 eV per formula unit
# ΔE to the lowest computed polymorph ... 0 meV per atom
# E ... -21.6 eV/cell


Record 6
# Si3SbO PBE-GGA optimized geometry
data_Si3SbO
_chemical_formula_sum 'Si3 Sb1 O1'
_space_group_name_H-M_alt 'P m -3 m'
_space_group_IT_number 221
_space_group_name_Hall '-P 4 2 3'
_cell_length_a 4.381
_cell_length_b 4.381
_cell_length_c 4.381
_cell_angle_alpha 90.00
_cell_angle_beta 90.00
_cell_angle_gamma 90.00
loop_
_atom_site_label
_atom_site_type_symbol
_atom_site_fract_x
_atom_site_fract_y
_atom_site_fract_z
Si1 Si 0.000 0.000 0.500
Sb1 Sb 0.500 0.500 0.500
O1 O 0.000 0.000 0.000
# Formation energy (no corrections) ... 1.33 eV per formula unit
# ΔE to the lowest computed polymorph ... 0 meV per atom
# E ... -24.0 eV/cell